[1]
KBeNbSi2: relaxed, PBE-GGA.

Properties
ΔE_f (raw), eV per atom: 1.18
Space group: P4/mmm (123)

Cell: 4.4626 4.8193 4.4626 Å, 90.00 90.00 90.00°
Last column: magnetic moment on the atom in μB.
Positions (direct):
Si: 0.5000 0.0000 0.0000  -0.06
Si: 0.0000 0.0000 0.5000  -0.06
K: 0.0000 0.5000 0.0000  0.05
Be: 0.0000 0.0000 0.0000  0.03
Nb: 0.5000 0.5000 0.5000  2.19



[2]
Sr2LiPaS5: relaxed, PBE-GGA.

Properties
ΔE_f (raw), eV per atom: -1.78
Space group: Cmc2_1 (36)

Cell: 4.1232 8.8087 12.8343 Å, 90.00 90.00 103.53°
Positions (direct):
S: 0.2950 0.5899 0.3897
S: 0.4992 0.9984 0.2772
Sr: 0.0877 0.1754 0.6676
S: 0.2725 0.5451 0.6612
S: 0.5008 0.0016 0.7772
Sr: 0.8821 0.7641 0.8112
S: 0.0699 0.1398 0.0504
Pa: 0.2164 0.4328 0.0223
S: 0.7275 0.4549 0.1612
S: 0.7050 0.4101 0.8897
S: 0.9301 0.8602 0.5504
S: 0.3676 0.7352 0.9990
Li: 0.4421 0.8842 0.4456
Sr: 0.1179 0.2359 0.3112
Li: 0.5579 0.1158 0.9456
S: 0.6324 0.2648 0.4990
Sr: 0.9123 0.8246 0.1676
Pa: 0.7836 0.5672 0.5223



[3]
CoAu2Br: relaxed, PBE-GGA.

Properties
Relative energy among the computed polymorphs, meV per atom: 395
ΔE_f (raw), eV per atom: 0.63
Space group: I-4m2 (119)

Cell: 4.7062 4.7062 4.7062 Å, 120.24 120.24 89.59°
Last column: magnetic moment on the atom in μB.
Positions (direct):
Au: 0.2500 0.7500 0.5000  -0.03
Br: 0.5000 0.5000 0.0000  0.02
Co: 0.7500 0.2500 0.5000  1.92
Au: 0.0000 0.0000 0.0000  0.02



[4]
Y5Zn4Co: relaxed, PBE-GGA.

Properties
Space group: P4/mmm (123)
E_form, eV per atom: -0.31

Cell: 3.5252 3.5252 17.8178 Å, 90.00 90.00 90.00°
Last column: magnetic moment on the atom in μB.
Positions (direct):
Y: 0.5000 0.5000 0.2961  -0.04
Zn: 0.0000 0.0000 0.1952  -0.01
Zn: 0.0000 0.0000 0.6026  -0.01
Y: 0.5000 0.5000 0.9094  -0.11
Y: 0.5000 0.5000 0.0906  -0.11
Co: 0.0000 0.0000 0.0000  0.95
Y: 0.5000 0.5000 0.5000  -0.03
Y: 0.5000 0.5000 0.7039  -0.04
Zn: 0.0000 0.0000 0.8048  -0.01
Zn: 0.0000 0.0000 0.3974  -0.01



[5]
AcZn3Pb3: relaxed, PBE-GGA.

Properties
Space group: Pm-3n (223)
E_form, eV per atom: 0.19

Cell: 7.5752 7.5752 7.5752 Å, 90.00 90.00 90.00°
Positions (direct):
Pb: 0.5000 0.0000 0.7500
Ac: 0.0000 0.0000 0.0000
Zn: 0.5000 0.2500 0.0000
Zn: 0.0000 0.5000 0.2500
Zn: 0.0000 0.5000 0.7500
Pb: 0.2500 0.5000 0.0000
Zn: 0.2500 0.0000 0.5000
Ac: 0.5000 0.5000 0.5000
Pb: 0.0000 0.7500 0.5000
Pb: 0.5000 0.0000 0.2500
Zn: 0.5000 0.7500 0.0000
Pb: 0.0000 0.2500 0.5000
Zn: 0.7500 0.0000 0.5000
Pb: 0.7500 0.5000 0.0000



[6]
Fe2Cu2Pd: relaxed, PBE-GGA.

Properties
Relative energy among the computed polymorphs, meV per atom: 0
Space group: P4/mbm (127)
E_form, eV per atom: 0.20

Cell: 6.9224 6.9224 2.7144 Å, 90.00 90.00 90.00°
Last column: magnetic moment on the atom in μB.
Positions (direct):
Fe: 0.8293 0.3293 0.5000  2.84
Cu: 0.6259 0.1259 0.0000  0.14
Fe: 0.3293 0.1707 0.5000  2.80
Cu: 0.8741 0.6259 0.0000  0.15
Cu: 0.1259 0.3741 0.0000  0.15
Pd: 0.5000 0.5000 0.0000  0.23
Fe: 0.1707 0.6707 0.5000  2.84
Pd: 0.0000 0.0000 0.0000  0.23
Fe: 0.6707 0.8293 0.5000  2.80
Cu: 0.3741 0.8741 0.0000  0.14



[7]
LaPm2BrO4: relaxed, PBE-GGA.

Properties
ΔE_f (raw), eV per atom: -3.16
Space group: P4/mmm (123)

Cell: 4.0663 4.0663 9.5032 Å, 90.00 90.00 90.00°
Positions (direct):
Br: 0.0000 0.0000 0.5000
Pm: 0.5000 0.5000 0.7398
O: 0.0000 0.5000 0.1576
Pm: 0.5000 0.5000 0.2602
O: 0.5000 0.0000 0.1576
La: 0.0000 0.0000 0.0000
O: 0.0000 0.5000 0.8424
O: 0.5000 0.0000 0.8424



[8]
DyOs4: relaxed, PBE-GGA.

Properties
Space group: Pm-3m (221)
E_form, eV per atom: 3.42

Cell: 4.7163 4.7163 4.7163 Å, 90.00 90.00 90.00°
Last column: magnetic moment on the atom in μB.
Positions (direct):
Os: 0.5000 0.5000 0.0000  -0.07
Os: 0.0000 0.5000 0.5000  -0.07
Os: 0.5000 0.0000 0.5000  -0.07
Dy: 0.5000 0.5000 0.5000  -0.01
Os: 0.0000 0.0000 0.0000  1.33



[9]
Ce6Dy2Th: relaxed, PBE-GGA.

Properties
Space group: Cmmm (65)
E_form, eV per atom: 0.09

Cell: 3.3774 9.8462 9.8290 Å, 120.06 69.91 90.00°
Last column: magnetic moment on the atom in μB.
Positions (direct):
Ce: 0.1632 0.3475 0.3368  0.08
Ce: 0.1632 0.9893 0.3368  0.08
Ce: 0.5000 0.3073 0.0000  0.07
Ce: 0.5000 0.6927 0.0000  0.07
Ce: 0.8368 0.0107 0.6632  0.08
Dy: 0.3257 0.3372 0.6744  0.01
Th: 0.0000 0.0000 0.0000  0.00
Ce: 0.8368 0.6525 0.6632  0.08
Dy: 0.6743 0.6628 0.3256  0.01



[10]
LaCuAs2Br: relaxed, PBE-GGA.

Properties
Relative energy among the computed polymorphs, meV per atom: 0
ΔE_f (raw), eV per atom: -0.46
Space group: P4/mmm (123)

Cell: 4.6584 4.6584 5.4495 Å, 90.00 90.00 90.00°
Positions (direct):
Br: 0.0000 0.0000 0.5000
As: 0.5000 0.0000 0.0000
Cu: 0.0000 0.0000 0.0000
La: 0.5000 0.5000 0.5000
As: 0.0000 0.5000 0.0000



[11]
LiTmAs: relaxed, PBE-GGA.

Properties
Relative energy among the computed polymorphs, meV per atom: 0
Space group: P-6m2 (187)
E_form, eV per atom: -0.92

Cell: 5.6570 5.6570 7.7770 Å, 133.47 133.47 42.55°
Positions (direct):
Tm: 0.0231 0.6589 0.4667
Li: 0.6897 0.3254 0.8835
Tm: 0.0228 0.6585 0.9664
As: 0.3564 0.9920 0.0501
As: 0.3563 0.9921 0.5500
Li: 0.6896 0.3255 0.3829



[12]
DyErSnPt: relaxed, PBE-GGA.

Properties
Space group: F-43m (216)
E_form, eV per atom: -0.86

Cell: 5.1255 5.1255 5.1255 Å, 60.00 60.00 60.00°
Positions (direct):
Pt: 0.5000 0.5000 0.5000
Er: 0.2500 0.2500 0.2500
Sn: 0.0000 0.0000 0.0000
Dy: 0.7500 0.7500 0.7500



[13]
SiSbBr: relaxed, PBE-GGA.

Properties
Relative energy among the computed polymorphs, meV per atom: 0
ΔE_f (raw), eV per atom: 0.02
Space group: I4mm (107)

Cell: 7.7096 7.7096 7.7096 Å, 152.56 152.56 39.19°
Positions (direct):
Sb: 0.2337 0.2337 0.0000
Si: 0.8057 0.8057 0.0000
Br: 0.9605 0.9605 0.0000



[14]
CeCuCl6: relaxed, PBE-GGA.

Properties
Relative energy among the computed polymorphs, meV per atom: 5
ΔE_f (raw), eV per atom: -1.32
Space group: P-1 (2)

Cell: 6.6739 6.9509 6.8464 Å, 64.61 63.10 54.32°
Last column: magnetic moment on the atom in μB.
Positions (direct):
Cl: 0.1145 0.4302 0.7295  0.01
Ce: 0.5000 0.5000 0.5000  0.07
Cu: 0.0000 0.0000 0.0000  0.48
Cl: 0.6238 0.2219 0.2389  0.09
Cl: 0.8855 0.5698 0.2705  0.01
Cl: 0.7677 0.0920 0.7776  0.09
Cl: 0.2323 0.9080 0.2224  0.09
Cl: 0.3762 0.7781 0.7611  0.09



[15]
PmHoZrIn: relaxed, PBE-GGA.

Properties
Space group: F-43m (216)
E_form, eV per atom: -0.05

Cell: 5.3858 5.3858 5.3858 Å, 60.00 60.00 60.00°
Last column: magnetic moment on the atom in μB.
Positions (direct):
Pm: 0.0000 0.0000 0.0000  0.24
Zr: 0.7500 0.7500 0.7500  1.11
In: 0.2500 0.2500 0.2500  -0.02
Ho: 0.5000 0.5000 0.5000  0.40



[16]
Tb4PmSmDy2: relaxed, PBE-GGA.

Properties
Space group: P2/m (10)
E_form, eV per atom: 0.02

Cell: 3.5748 6.1851 11.8719 Å, 79.97 90.00 90.00°
Positions (direct):
Tb: 0.0000 0.2492 0.2500
Dy: 0.0000 0.0000 0.0000
Tb: 0.0000 0.7508 0.7500
Pm: 0.0000 0.5000 0.5000
Dy: 0.5000 0.0000 0.5000
Sm: 0.5000 0.5000 0.0000
Tb: 0.5000 0.2496 0.7507
Tb: 0.5000 0.7504 0.2493



[17]
Y2P2Ir5: relaxed, PBE-GGA.

Properties
Space group: P4/mmm (123)
E_form, eV per atom: -0.86

Cell: 4.1125 4.1125 8.7535 Å, 90.00 90.00 90.00°
Positions (direct):
Ir: 0.5000 0.5000 0.5000
Ir: 0.0000 0.5000 0.7399
Y: 0.0000 0.0000 0.0000
Ir: 0.0000 0.5000 0.2601
Ir: 0.5000 0.0000 0.2601
Y: 0.0000 0.0000 0.5000
P: 0.5000 0.5000 0.1348
Ir: 0.5000 0.0000 0.7399
P: 0.5000 0.5000 0.8652



[18]
RbI2Cl: relaxed, PBE-GGA.

Properties
Relative energy among the computed polymorphs, meV per atom: 538
ΔE_f (raw), eV per atom: -0.39
Space group: Fm-3m (225)

Cell: 6.0814 6.0814 6.0814 Å, 60.00 60.00 60.00°
Last column: magnetic moment on the atom in μB.
Positions (direct):
Cl: 0.0000 0.0000 0.0000  0.46
Rb: 0.5000 0.5000 0.5000  0.01
I: 0.2500 0.2500 0.2500  0.46
I: 0.7500 0.7500 0.7500  0.46



[19]
Be2FeS: relaxed, PBE-GGA.

Properties
ΔE_f (raw), eV per atom: 0.24
Space group: I-42d (122)

Cell: 6.2922 6.2922 4.9959 Å, 50.97 50.97 90.00°
Last column: magnetic moment on the atom in μB.
Positions (direct):
Be: 0.5822 0.1250 0.2500  -0.02
S: 0.2500 0.7500 0.5000  0.03
Be: 0.1678 0.6250 0.2500  -0.02
Fe: 0.0000 0.0000 0.0000  2.03
Be: 0.8750 0.8322 0.7500  -0.02
Fe: 0.7500 0.2500 0.5000  2.05
Be: 0.3750 0.4178 0.7500  -0.01
S: 0.5000 0.5000 0.0000  0.03



[20]
Tb2PmOsO8: relaxed, PBE-GGA.

Properties
ΔE_f (raw), eV per atom: -2.50
Space group: Cmmm (65)

Cell: 5.0877 5.0877 6.8809 Å, 90.00 90.00 89.76°
Last column: magnetic moment on the atom in μB.
Positions (direct):
O: 0.7391 0.7398 0.0000  0.00
O: 0.2609 0.2602 0.0000  0.00
Tb: 0.5000 0.5000 0.7478  0.03
Os: 0.0000 0.0000 0.0000  0.69
O: 0.1841 0.8155 0.7955  0.06
Pm: 0.0000 0.0000 0.5000  0.02
O: 0.6868 0.6867 0.5000  0.00
O: 0.3132 0.3133 0.5000  0.00
Tb: 0.5000 0.5000 0.2522  0.03
O: 0.8159 0.1845 0.2045  0.06
O: 0.8160 0.1845 0.7955  0.06
O: 0.1840 0.8155 0.2045  0.06



[21]
Th2NiRh: relaxed, PBE-GGA.

Properties
Space group: Cmcm (63)
E_form, eV per atom: -0.65

Cell: 4.1761 3.9316 11.6058 Å, 99.75 90.00 90.00°
Positions (direct):
Th: 0.2500 0.0634 0.1269
Th: 0.7500 0.6821 0.3642
Rh: 0.7500 0.8133 0.6266
Th: 0.2500 0.3179 0.6358
Ni: 0.7500 0.5401 0.0801
Rh: 0.2500 0.1867 0.3734
Th: 0.7500 0.9366 0.8731
Ni: 0.2500 0.4599 0.9199



[22]
SeIBrN2: relaxed, PBE-GGA.

Properties
Relative energy among the computed polymorphs, meV per atom: 403
ΔE_f (raw), eV per atom: 2.01
Space group: P4/mmm (123)

Cell: 4.1574 4.1574 8.3151 Å, 90.00 90.00 90.00°
Last column: magnetic moment on the atom in μB.
Positions (direct):
N: 0.0000 0.5000 0.0000  1.01
Br: 0.0000 0.0000 0.0000  0.06
Se: 0.0000 0.0000 0.5000  -0.01
I: 0.5000 0.5000 0.5000  0.00
N: 0.5000 0.0000 0.0000  1.01



[23]
FeAuN: relaxed, PBE-GGA.

Properties
ΔE_f (raw), eV per atom: 0.46
Space group: Cm (8)

Cell: 4.7886 6.2122 15.0759 Å, 152.83 145.97 25.54°
Last column: magnetic moment on the atom in μB.
Positions (direct):
Au: 0.1007 0.5703 0.8241  0.06
Fe: 0.3544 0.1187 0.9739  2.28
N: 0.9823 0.9339 0.1531  -0.02
N: 0.1909 0.7283 0.4180  0.06
Fe: 0.6782 0.7017 0.3198  -0.48
Au: 0.8312 0.8995 0.6107  0.01



[24]
SrZn2Fe: relaxed, PBE-GGA.

Properties
Space group: P4mm (99)
E_form, eV per atom: 0.27

Cell: 3.4081 3.4081 7.0927 Å, 90.00 90.00 90.00°
Last column: magnetic moment on the atom in μB.
Positions (direct):
Zn: 0.0000 0.0000 0.0626  -0.03
Sr: 0.5000 0.5000 0.7354  -0.06
Zn: 0.5000 0.5000 0.2900  -0.06
Fe: 0.0000 0.0000 0.4120  2.39



[25]
Rb2LiPtCl6: relaxed, PBE-GGA.

Properties
Relative energy among the computed polymorphs, meV per atom: 48
ΔE_f (raw), eV per atom: -1.25
Space group: I4/mmm (139)

Cell: 7.4689 7.4689 6.9690 Å, 57.60 57.60 90.00°
Last column: magnetic moment on the atom in μB.
Positions (direct):
Pt: 0.0000 0.0000 0.0000  0.54
Rb: 0.2500 0.7500 0.5000  0.00
Cl: 0.2358 0.2358 0.0000  0.07
Rb: 0.7500 0.2500 0.5000  0.00
Cl: 0.7642 0.7642 0.0000  0.07
Li: 0.5000 0.5000 0.0000  0.02
Cl: 0.7642 0.2358 0.0000  0.07
Cl: 0.2540 0.2540 0.4920  0.01
Cl: 0.7460 0.7460 0.5080  0.01
Cl: 0.2358 0.7642 0.0000  0.07



no.,calculated volume (Å³/atom)
1,19.20
2,25.18
3,18.36
4,22.14
5,31.05
6,13.01
7,19.64
8,20.98
9,28.85
10,23.65
11,18.92
12,23.80
13,32.37
14,28.00
15,27.62
16,32.31
17,16.45
18,39.76
19,11.25
20,14.84
21,23.47
22,28.74
23,14.59
24,20.60
25,25.36